A geometry-optimized BaVW2O8 structure. Source: the Alexandria database, functional GGA+U.

Cell: 5.9108 5.9108 7.2379 Å, 90.00 90.00 120.00°
With the nearest neighbours (Å) after each atom.
Fractional coordinates of all 12 atoms:
O: 0.3333 0.6667 0.0041  1 W 1.80
O: 0.6741 0.8370 0.6827  1 W 1.82
O: 0.8370 0.1629 0.3173  1 W 1.82
O: 0.6667 0.3333 0.9959  1 W 1.80
O: 0.1629 0.3259 0.6827  1 W 1.82
O: 0.8371 0.6741 0.3173  1 W 1.82
O: 0.1630 0.8371 0.6827  1 W 1.82
O: 0.3259 0.1630 0.3173  1 W 1.82
W: 0.6667 0.3333 0.2448  4 O 1.80-1.82
W: 0.3333 0.6667 0.7552  4 O 1.80-1.82
V: 0.0000 0.0000 0.5000  6 O 2.13
Ba: 0.0000 0.0000 0.0000  6 O 2.84

Output
- SG: P-3m1 (164)
- Uncorrected energy: -0.5483 Ry/atom
- DOS at the Fermi energy: 0.00 states/eV per atom